Below is a geometry-optimized LiCeICl4 structure, with properties calculated at the GGA-PBE level.

a = 7.641 Å, b = 7.641 Å, c = 8.400 Å
α = 102.19°, β = 102.19°, γ = 69.26°
Sites, in units of the cell vectors:
1 Li 0.133 0.133 0.310
2 Li 0.867 0.867 0.690
3 Ce 0.274 0.274 0.892
4 Ce 0.726 0.726 0.108
5 I 0.473 0.473 0.200
6 I 0.527 0.527 0.800
7 Cl 0.005 0.386 0.143
8 Cl 0.061 0.061 0.775
9 Cl 0.258 0.258 0.571
10 Cl 0.386 0.005 0.143
11 Cl 0.614 0.995 0.857
12 Cl 0.742 0.742 0.429
13 Cl 0.939 0.939 0.225
14 Cl 0.995 0.614 0.857

Properties
total energy: -57.5 eV for the cell shown
DOS at the Fermi energy: 2.91 states/eV/cell
space-group type: No. 12

Below is a geometry-optimized Sr2Zn2Hg3 structure, with properties calculated at the GGA-PBE level.

a = 10.639 Å, b = 10.639 Å, c = 7.742 Å
α = 90.00°, β = 90.00°, γ = 154.47°
Sites, in units of the cell vectors:
1 Sr 0.053 0.947 0.750
2 Sr 0.164 0.836 0.250
3 Sr 0.836 0.164 0.750
4 Sr 0.947 0.053 0.250
5 Zn 0.311 0.689 0.072
6 Zn 0.311 0.689 0.428
7 Zn 0.689 0.311 0.572
8 Zn 0.689 0.311 0.928
9 Hg 0.222 0.778 0.750
10 Hg 0.434 0.566 0.562
11 Hg 0.434 0.566 0.938
12 Hg 0.566 0.434 0.062
13 Hg 0.566 0.434 0.438
14 Hg 0.778 0.222 0.250

Properties
total energy: -18.4 eV for the cell shown
DOS at the Fermi energy: 8.52 states/eV/cell
space-group type: No. 63

Below is a geometry-optimized Al4ZnIr structure, with properties calculated at the GGA-PBE level.

a = 5.084 Å, b = 5.084 Å, c = 5.084 Å
α = 60.00°, β = 60.00°, γ = 60.00°
Sites, in units of the cell vectors:
1 Al 0.125 0.125 0.125
2 Al 0.125 0.125 0.626
3 Al 0.125 0.626 0.125
4 Al 0.626 0.125 0.125
5 Zn 0.500 0.500 0.500
6 Ir 0.750 0.750 0.750

Properties
polymorph energy (0 for the lowest one): 0.4642 eV per atom
DOS at the Fermi energy: 3.72 states/eV/cell
space-group type: No. 216

Below is a geometry-optimized NaSr2Cd2 structure, with properties calculated at the GGA-PBE level.

a = 8.793 Å, b = 8.793 Å, c = 4.673 Å
α = 90.00°, β = 90.00°, γ = 90.00°
Sites, in units of the cell vectors:
1 Na 0.000 0.000 0.000
2 Na 0.500 0.500 0.000
3 Sr 0.169 0.331 0.500
4 Sr 0.331 0.831 0.500
5 Sr 0.669 0.169 0.500
6 Sr 0.831 0.669 0.500
7 Cd 0.125 0.625 0.000
8 Cd 0.375 0.125 0.000
9 Cd 0.625 0.875 0.000
10 Cd 0.875 0.375 0.000

Properties
polymorph energy (0 for the lowest one): 0.0000 eV per atom
DOS at the Fermi energy: 7.56 states/eV/cell
space-group type: No. 127

Below is a geometry-optimized LiUCuSe4 structure, with properties calculated at the GGA-PBE level.

a = 7.624 Å, b = 7.624 Å, c = 7.624 Å
α = 120.53°, β = 112.64°, γ = 96.14°
Sites, in units of the cell vectors:
1 Li 0.471 0.221 0.250
2 Li 0.529 0.779 0.750
3 U 0.000 0.500 0.500
4 U 0.500 0.500 0.000
5 Cu 0.000 0.000 0.500
6 Cu 0.000 0.500 0.000
7 Se 0.179 0.237 0.943
8 Se 0.206 0.763 0.443
9 Se 0.296 0.314 0.519
10 Se 0.296 0.777 0.981
11 Se 0.704 0.223 0.019
12 Se 0.704 0.686 0.481
13 Se 0.794 0.237 0.557
14 Se 0.821 0.763 0.057

Properties
total energy: -73.4 eV for the cell shown
DOS at the Fermi energy: 12.78 states/eV/cell
space-group type: No. 74

Below is a geometry-optimized NdNpNbN3 structure, with properties calculated at the GGA-PBE level.

a = 7.238 Å, b = 3.347 Å, c = 8.233 Å
α = 90.00°, β = 93.27°, γ = 90.00°
Sites, in units of the cell vectors:
1 Nd 0.141 0.250 0.177
2 Nd 0.859 0.750 0.823
3 Np 0.368 0.750 0.851
4 Np 0.632 0.250 0.149
5 Nb 0.134 0.250 0.571
6 Nb 0.866 0.750 0.429
7 N 0.145 0.250 0.848
8 N 0.165 0.750 0.416
9 N 0.405 0.750 0.110
10 N 0.595 0.250 0.890
11 N 0.835 0.250 0.584
12 N 0.855 0.750 0.152

Properties
total energy: -116.5 eV for the cell shown
DOS at the Fermi energy: 15.70 states/eV/cell
space-group type: No. 11

> Among the records above, which one has the highest DOS at the Fermi energy?

NdNpNbN3